Record 1
Below is Cs2GaCF6 after structural relaxation, with properties calculated at the PBE-GGA level.

ΔE_f (raw) in eV per atom: -1.7888

a b c (Å): 5.730 5.730 10.658
angles (deg): 90.00 90.00 90.00
Space group I4/mmm (No. 139)
Inequivalent atoms, fractional coordinates:
Cs 0.000 0.500 0.250 (multiplicity 4)
Ga 0.000 0.000 0.000 (multiplicity 2)
C 0.000 0.000 0.500 (multiplicity 2)
F 0.000 0.000 0.176 (multiplicity 4)
F 0.245 0.245 0.000 (multiplicity 8)

=====

Record 2
Below is Cs2HfCF6 after structural relaxation, with properties calculated at the PBE-GGA level.

ΔE_f (raw) in eV per atom: -2.3301

a b c (Å): 6.641 6.641 10.157
angles (deg): 90.00 90.00 90.00
Space group I4/mmm (No. 139)
Inequivalent atoms, fractional coordinates:
Cs 0.000 0.500 0.250 (multiplicity 4)
Hf 0.000 0.000 0.000 (multiplicity 2)
C 0.000 0.000 0.500 (multiplicity 2)
F 0.000 0.000 0.198 (multiplicity 4)
F 0.214 0.214 0.000 (multiplicity 8)

=====

Record 3
Below is Cs2CI6F after structural relaxation, with properties calculated at the PBE-GGA level.

ΔE_f (raw) in eV per atom: -0.2019

a b c (Å): 7.285 7.285 14.266
angles (deg): 90.00 90.00 90.00
Space group I4/mmm (No. 139)
Inequivalent atoms, fractional coordinates:
Cs 0.000 0.500 0.250 (multiplicity 4)
C 0.000 0.000 0.000 (multiplicity 2)
I 0.000 0.000 0.196 (multiplicity 4)
I 0.244 0.244 0.000 (multiplicity 8)
F 0.000 0.000 0.500 (multiplicity 2)

=====

Record 4
Below is Cs2CIF6 after structural relaxation, with properties calculated at the PBE-GGA level.

ΔE_f (raw) in eV per atom: -1.5112

a b c (Å): 6.842 6.842 8.821
angles (deg): 90.00 90.00 90.00
Space group I4/mmm (No. 139)
Inequivalent atoms, fractional coordinates:
Cs 0.000 0.500 0.250 (multiplicity 4)
C 0.000 0.000 0.000 (multiplicity 2)
I 0.000 0.000 0.500 (multiplicity 2)
F 0.000 0.000 0.195 (multiplicity 4)
F 0.159 0.159 0.000 (multiplicity 8)

=====

Record 5
Below is Cs2KCF6 after structural relaxation, with properties calculated at the PBE-GGA level.

ΔE_f (raw) in eV per atom: -1.7468

a b c (Å): 8.898 8.898 8.898
angles (deg): 90.00 90.00 90.00
Space group Fm-3m (No. 225)
Inequivalent atoms, fractional coordinates:
Cs 0.250 0.250 0.250 (multiplicity 8)
K 0.000 0.000 0.000 (multiplicity 4)
C 0.000 0.000 0.500 (multiplicity 4)
F 0.000 0.000 0.299 (multiplicity 24)

=====

Record 6
Below is Cs2LaCF6 after structural relaxation, with properties calculated at the PBE-GGA level.

ΔE_f (raw) in eV per atom: -2.3061

a b c (Å): 6.157 6.157 11.420
angles (deg): 90.00 90.00 90.00
Space group I4/mmm (No. 139)
Inequivalent atoms, fractional coordinates:
Cs 0.000 0.500 0.250 (multiplicity 4)
La 0.000 0.000 0.000 (multiplicity 2)
C 0.000 0.000 0.500 (multiplicity 2)
F 0.000 0.000 0.202 (multiplicity 4)
F 0.233 0.233 0.500 (multiplicity 8)

=====

Record 7
Below is CsLi2CF after structural relaxation, with properties calculated at the PBE-GGA level.

ΔE_f (raw) in eV per atom: 1.2192

a b c (Å): 5.918 5.918 4.469
angles (deg): 90.00 90.00 90.00
Space group P4/mmm (No. 123)
Inequivalent atoms, fractional coordinates:
Cs 0.000 0.000 0.000 (multiplicity 1)
Li 0.000 0.500 0.000 (multiplicity 2)
C 0.000 0.000 0.500 (multiplicity 1)
F 0.500 0.500 0.500 (multiplicity 1)

=====

Record 8
Below is Cs2LiCF6 after structural relaxation, with properties calculated at the PBE-GGA level.

ΔE_f (raw) in eV per atom: -1.6836

a b c (Å): 5.720 5.720 9.617
angles (deg): 90.00 90.00 90.00
Space group I4/mmm (No. 139)
Inequivalent atoms, fractional coordinates:
Cs 0.000 0.500 0.250 (multiplicity 4)
Li 0.000 0.000 0.000 (multiplicity 2)
C 0.000 0.000 0.500 (multiplicity 2)
F 0.000 0.000 0.327 (multiplicity 4)
F 0.234 0.234 0.500 (multiplicity 8)

=====

Record 9
Below is Cs2MgCF6 after structural relaxation, with properties calculated at the PBE-GGA level.

ΔE_f (raw) in eV per atom: -1.9387

a b c (Å): 5.825 5.825 9.427
angles (deg): 90.00 90.00 90.00
Space group I4/mmm (No. 139)
Inequivalent atoms, fractional coordinates:
Cs 0.000 0.500 0.250 (multiplicity 4)
Mg 0.000 0.000 0.000 (multiplicity 2)
C 0.000 0.000 0.500 (multiplicity 2)
F 0.000 0.000 0.202 (multiplicity 4)
F 0.230 0.230 0.500 (multiplicity 8)

=====

| no. | total magnetic moment (μB per formula unit) |
| --- | --- |
| 1 | 1.00 |
| 2 | 2.00 |
| 3 | 0.00 |
| 4 | 0.90 |
| 5 | 1.00 |
| 6 | 1.00 |
| 7 | 0.00 |
| 8 | 1.00 |
| 9 | 0.00 |